# 1
This record from Alexandria describes crystalline V3MoF at its relaxed geometry. The functional is PBE+U.

a = 4.423 Å, b = 4.423 Å, c = 4.423 Å
α = 90.00°, β = 90.00°, γ = 90.00°
Last column: magnetic moment on the atom in μB.
Fractional coordinates of all 5 atoms:
Mo (0.500, 0.500, 0.500)  -3.34
V (0.000, 0.500, 0.000)  2.68
V (0.000, 0.000, 0.500)  2.68
V (0.500, 0.000, 0.000)  2.68
F (0.000, 0.000, 0.000)  0.03

* E above lowest polymorph: 0.0 meV/atom
* N(E_F): 0.42 states/eV/atom
* space-group type: Pm-3m

=====

# 2
This record from Alexandria describes crystalline V2MoF8 at its relaxed geometry. The functional is PBE+U.

a = 4.287 Å, b = 6.080 Å, c = 7.079 Å
α = 125.63°, β = 89.95°, γ = 90.27°
Last column: magnetic moment on the atom in μB.
Fractional coordinates of all 11 atoms:
F (0.241, 0.204, 0.885)  0.01
F (0.758, 0.797, 0.681)  0.01
F (0.259, 0.642, 0.820)  0.01
F (0.759, 0.796, 0.115)  0.01
F (0.741, 0.358, 0.180)  0.01
F (0.252, 0.819, 0.410)  0.00
F (0.748, 0.181, 0.590)  0.00
F (0.242, 0.203, 0.319)  0.01
V (0.246, 0.242, 0.621)  2.37
V (0.754, 0.758, 0.379)  2.37
Mo (0.000, 0.000, 0.000)  2.77

* raw total energy: -65.9 eV/cell
* N(E_F): 0.59 states/eV/atom
* space-group type: P-1

=====

# 3
This record from Alexandria describes crystalline V3MoF at its relaxed geometry. The functional is PBE+U.

a = 4.998 Å, b = 4.998 Å, c = 4.998 Å
α = 90.00°, β = 90.00°, γ = 90.00°
Last column: magnetic moment on the atom in μB.
Fractional coordinates of all 5 atoms:
Mo (0.000, 0.000, 0.000)  -2.60
F (0.500, 0.500, 0.500)  0.04
V (0.000, 0.000, 0.500)  2.81
V (0.500, 0.000, 0.000)  2.81
V (0.000, 0.500, 0.000)  2.81

* E above lowest polymorph: 1127.9 meV/atom
* N(E_F): 0.85 states/eV/atom
* space-group type: Pm-3m

=====

# 4
This record from Alexandria describes crystalline VMoF at its relaxed geometry. The functional is PBE+U.

a = 3.216 Å, b = 3.025 Å, c = 13.442 Å
α = 90.00°, β = 90.00°, γ = 122.11°
Last column: magnetic moment on the atom in μB.
Fractional coordinates of all 6 atoms:
V (0.325, 0.650, 0.500)  0.96
V (0.664, 0.329, 0.000)  -2.40
Mo (0.164, 0.327, 0.843)  3.08
Mo (0.164, 0.327, 0.157)  3.08
F (0.675, 0.350, 0.408)  0.01
F (0.675, 0.350, 0.592)  0.01

* raw total energy: -32.7 eV/cell
* N(E_F): 0.32 states/eV/atom
* space-group type: Amm2

=====

# 5
This record from Alexandria describes crystalline VMo3F at its relaxed geometry. The functional is PBE+U.

a = 5.008 Å, b = 5.008 Å, c = 5.008 Å
α = 90.00°, β = 90.00°, γ = 90.00°
Last column: magnetic moment on the atom in μB.
Fractional coordinates of all 5 atoms:
Mo (0.000, 0.000, 0.500)  3.35
Mo (0.000, 0.500, 0.000)  3.35
Mo (0.500, 0.000, 0.000)  3.35
F (0.500, 0.500, 0.500)  0.10
V (0.000, 0.000, 0.000)  -2.52

* E above lowest polymorph: 311.2 meV/atom
* N(E_F): 0.67 states/eV/atom
* space-group type: Pm-3m

=====

# 6
This record from Alexandria describes crystalline MoW2F at its relaxed geometry. The functional is PBE+U.

a = 4.481 Å, b = 4.481 Å, c = 4.481 Å
α = 60.00°, β = 60.00°, γ = 60.00°
Fractional coordinates of all 4 atoms:
F (0.000, 0.000, 0.000)
W (0.250, 0.250, 0.250)
W (0.750, 0.750, 0.750)
Mo (0.500, 0.500, 0.500)

* E above lowest polymorph: 180.3 meV/atom
* N(E_F): 1.02 states/eV/atom
* space-group type: Fm-3m